Entry 1:
Compound: AlAgAs2
Source: the Alexandria database
Functional: PBE
Structure: optimized geometry

Cell lengths 3.7566, 3.7566, 19.2132 Å; angles 90.00, 90.00, 120.00 degrees
Space group R-3m (No. 166, hexagonal axes)
Unique sites:
Al 0.0000 0.0000 0.0000 [3 per cell]
Ag 0.0000 0.0000 0.5000 [3 per cell]
As 0.0000 0.0000 0.2569 [6 per cell]

Values from the calculation:
The offset from the most stable computed form is 54 meV per atom. As for the volume: 234.8 Å³/cell. For the energy relative to the elements, the calculation gives 0.03 eV/atom.


Entry 2:
Compound: AlAg2As
Source: the Alexandria database
Functional: PBE
Structure: optimized geometry

Cell lengths 5.050, 5.050, 2.886 Å; angles 90.00, 90.00, 90.00 degrees
Space group P4/mmm (No. 123)
Unique sites:
Al 0.000 0.000 0.000 [1 per cell]
Ag 0.000 0.500 0.500 [2 per cell]
As 0.500 0.500 0.000 [1 per cell]

Values from the calculation:
The offset from the most stable computed form is 109 meV per atom. As for the volume: 73.6 Å³/cell. For the energy relative to the elements, the calculation gives 0.16 eV/atom.


Entry 3:
Compound: Al2AgAs
Source: the Alexandria database
Functional: PBE
Structure: optimized geometry

Cell lengths 2.893, 4.421, 11.962 Å; angles 90.00, 90.00, 90.00 degrees
Space group Imm2 (No. 44)
Unique sites:
Al 0.000 0.000 0.000 [2 per cell]
Al 0.000 0.500 0.286 [2 per cell]
Ag 0.000 0.000 0.455 [2 per cell]
As 0.000 0.500 0.692 [2 per cell]

Values from the calculation:
The offset from the most stable computed form is 81 meV per atom. As for the volume: 153.0 Å³/cell. For the energy relative to the elements, the calculation gives 0.09 eV/atom.


Entry 4:
Compound: AlAgAs2
Source: the Alexandria database
Functional: PBE
Structure: optimized geometry

Cell lengths 5.951, 5.951, 11.131 Å; angles 90.00, 90.00, 90.00 degrees
Space group I-42d (No. 122)
Unique sites:
Al 0.000 0.000 0.000 [4 per cell]
Ag 0.000 0.000 0.500 [4 per cell]
As 0.237 0.250 0.125 [8 per cell]

Values from the calculation:
The offset from the most stable computed form is 85 meV per atom. As for the volume: 394.2 Å³/cell. For the energy relative to the elements, the calculation gives 0.06 eV/atom.